An optimized crystal structure of TiTe3W. Source: Alexandria, functional PBE-GGA.

Output
Crystal system: cubic
Energy in eV/atom: -5.1852
Fermi-level density of states in states/eV/cell: 10.23
M_tot in μB per atom: 0.608

Unit cell a=5.3153 b=5.3153 c=5.3153 alpha=90.00 beta=90.00 gamma=90.00
Fractional positions:
Te: 0.5000 0.0000 0.0000
Te: 0.0000 0.0000 0.5000
Te: 0.0000 0.5000 0.0000
Ti: 0.5000 0.5000 0.5000
W: 0.0000 0.0000 0.0000

An optimized crystal structure of TiTe2W. Source: Alexandria, functional PBE-GGA.

Output
Crystal system: trigonal
Energy in eV/atom: -6.3626
Fermi-level density of states in states/eV/cell: 3.87
M_tot in μB per atom: 0.117

Unit cell a=9.5602 b=9.5602 c=9.5602 alpha=20.21 beta=20.21 gamma=20.21
Fractional positions:
Te: 0.9025 0.9025 0.9025
Te: 0.0975 0.0975 0.0975
Ti: 0.0000 0.0000 0.0000
W: 0.5000 0.5000 0.5000

An optimized crystal structure of TiTe2W. Source: Alexandria, functional PBE-GGA.

Output
Crystal system: cubic
Energy in eV/atom: -6.5907
Fermi-level density of states in states/eV/cell: 3.81
M_tot in μB per atom: 0.418

Unit cell a=4.7805 b=4.7805 c=4.7805 alpha=60.00 beta=60.00 gamma=60.00
Fractional positions:
Ti: 0.0000 0.0000 0.0000
Te: 0.7500 0.7500 0.7500
Te: 0.2500 0.2500 0.2500
W: 0.5000 0.5000 0.5000